1.
# Sr3LaO

A relaxed Sr3LaO crystal (GGA-PBE, Alexandria via LeMat-Bulk).

Summary:
Total magnetization ... 0.00 μB/f.u.
DFT total energy ... -1.860 eV per atom
Raw formation energy ... 1.126 eV per atom

Unit cell a=6.1454 b=6.1454 c=6.1454 alpha=90.00 beta=90.00 gamma=90.00
With the nearest neighbours (Å) after each atom.
Space group Pm-3m (No. 221)
Asymmetric unit:
1 Sr 0.0000 0.0000 0.5000 x3  2 La 3.07
2 La 0.0000 0.0000 0.0000 x1  6 Sr 3.07
3 O 0.5000 0.5000 0.5000 x1  12 Sr 4.35

2.
# SrLa2O

A relaxed SrLa2O crystal (GGA-PBE, Alexandria via LeMat-Bulk).

Summary:
Total magnetization ... 0.00 μB/f.u.
DFT total energy ... -5.395 eV per atom
Raw formation energy ... -1.271 eV per atom

Unit cell a=7.6130 b=7.6130 c=10.2347 alpha=90.00 beta=90.00 gamma=90.00
With the nearest neighbours (Å) after each atom.
Space group I-42d (No. 122)
Asymmetric unit:
1 Sr 0.0000 0.0000 0.0000 x4  8 La 3.95-4.32
2 La 0.0772 0.2500 0.6250 x8  2 O 2.37
3 O 0.0000 0.0000 0.5000 x4  4 La 2.37

3.
# Sr2La2O5

A relaxed Sr2La2O5 crystal (GGA-PBE, Alexandria via LeMat-Bulk).

Summary:
Total magnetization ... 0.00 μB/f.u.
DFT total energy ... -7.273 eV per atom
Raw formation energy ... -3.050 eV per atom

Unit cell a=12.3587 b=6.8594 c=6.8973 alpha=90.00 beta=90.00 gamma=90.00
With the nearest neighbours (Å) after each atom.
Space group Cmce (No. 64)
Asymmetric unit:
1 Sr 0.2065 0.0000 0.0000 x8  7 O 2.53-2.80
2 La 0.0000 0.1686 0.3319 x8  4 O 2.34-2.56
3 O 0.0000 0.0000 0.0000 x4  2 Sr 2.55, 4 La 2.55-2.56
4 O 0.1295 0.1591 0.6522 x16  1 La 2.34, 1 Sr 2.53

4.
# Sr2LaO

A relaxed Sr2LaO crystal (GGA-PBE, Alexandria via LeMat-Bulk).

Summary:
Total magnetization ... 0.42 μB/f.u.
DFT total energy ... -4.439 eV per atom
Raw formation energy ... -1.126 eV per atom

Unit cell a=3.6978 b=3.6978 c=31.2782 alpha=90.00 beta=90.00 gamma=120.00
With the nearest neighbours (Å) after each atom.
Space group R-3m (No. 166, hexagonal axes)
Asymmetric unit:
1 Sr 0.0000 0.0000 0.1184 x6  3 O 2.62
2 La 0.0000 0.0000 0.0000 x3  6 La 3.70, 2 Sr 3.70
3 O 0.0000 0.0000 0.5000 x3  6 Sr 2.62

5.
# Sr3LaO

A relaxed Sr3LaO crystal (GGA-PBE, Alexandria via LeMat-Bulk).

Summary:
Total magnetization ... 0.00 μB/f.u.
DFT total energy ... -3.747 eV per atom
Raw formation energy ... -0.761 eV per atom

Unit cell a=5.4928 b=5.4928 c=5.4928 alpha=90.00 beta=90.00 gamma=90.00
With the nearest neighbours (Å) after each atom.
Space group Pm-3m (No. 221)
Asymmetric unit:
1 Sr 0.0000 0.0000 0.5000 x3  2 O 2.75
2 La 0.5000 0.5000 0.5000 x1  12 Sr 3.88
3 O 0.0000 0.0000 0.0000 x1  6 Sr 2.75

6.
# SrLa2O

A relaxed SrLa2O crystal (GGA-PBE, Alexandria via LeMat-Bulk).

Summary:
Total magnetization ... 0.00 μB/f.u.
DFT total energy ... -5.321 eV per atom
Raw formation energy ... -1.197 eV per atom

Unit cell a=3.8039 b=3.8039 c=30.0968 alpha=90.00 beta=90.00 gamma=120.00
With the nearest neighbours (Å) after each atom.
Space group R-3m (No. 166, hexagonal axes)
Asymmetric unit:
1 Sr 0.0000 0.0000 0.0000 x3  2 La 3.67, 6 Sr 3.80
2 La 0.0000 0.0000 0.1219 x6  3 O 2.58
3 O 0.0000 0.0000 0.5000 x3  6 La 2.58

7.
# SrLa2O2

A relaxed SrLa2O2 crystal (GGA-PBE, Alexandria via LeMat-Bulk).

Summary:
Total magnetization ... 0.00 μB/f.u.
DFT total energy ... -6.322 eV per atom
Raw formation energy ... -2.031 eV per atom

Unit cell a=4.7834 b=4.7834 c=12.8850 alpha=90.00 beta=90.00 gamma=90.00
With the nearest neighbours (Å) after each atom.
Space group I4/mmm (No. 139)
Asymmetric unit:
1 Sr 0.0000 0.0000 0.0000 x2  2 O 2.58
2 La 0.0000 0.5000 0.2500 x4  4 O 2.48
3 O 0.0000 0.0000 0.2006 x4  4 La 2.48, 1 Sr 2.58

8.
# Sr3La4O9

A relaxed Sr3La4O9 crystal (GGA-PBE, Alexandria via LeMat-Bulk).

Summary:
Total magnetization ... 0.00 μB/f.u.
DFT total energy ... -7.424 eV per atom
Raw formation energy ... -3.088 eV per atom

Unit cell a=6.2275 b=6.2275 c=26.9777 alpha=90.00 beta=90.00 gamma=120.00
With the nearest neighbours (Å) after each atom.
Space group R3 (No. 146, hexagonal axes)
Asymmetric unit:
1 Sr 0.0000 0.0000 0.0000 x3  3 O 2.50
2 Sr 0.0000 0.0000 0.1794 x3  3 O 2.51
3 Sr 0.0000 0.0000 0.6112 x3  3 O 2.45
4 La 0.0000 0.0000 0.3073 x3  6 O 2.40-2.42
5 La 0.0000 0.0000 0.4393 x3  3 O 2.30
6 La 0.0000 0.0000 0.7431 x3  6 O 2.34-2.58
7 La 0.0000 0.0000 0.8715 x3  6 O 2.36-2.53
8 O 0.9997 0.6172 0.0277 x9  2 La 2.34-2.42, 1 Sr 2.50
9 O 0.0033 0.3839 0.5890 x9  2 La 2.36-2.40, 1 Sr 2.45
10 O 0.0451 0.6912 0.4755 x9  2 La 2.30-2.53, 1 Sr 2.51

9.
# Sr2LaTa3O11

A relaxed Sr2LaTa3O11 crystal (GGA-PBE, Alexandria via LeMat-Bulk).

Summary:
Total magnetization ... 0.00 μB/f.u.
DFT total energy ... -8.895 eV per atom
Raw formation energy ... -3.108 eV per atom

Unit cell a=3.9805 b=5.7550 c=21.8773 alpha=90.00 beta=90.00 gamma=90.00
With the nearest neighbours (Å) after each atom.
Space group Immm (No. 71)
Asymmetric unit:
1 Sr 0.0000 0.0000 0.2054 x4  6 O 2.51-2.59
2 La 0.0000 0.5000 0.0000 x2  12 O 2.62-2.88
3 Ta 0.0000 0.0000 0.3655 x4  4 O 1.89-2.02
4 Ta 0.0000 0.5000 0.5000 x2  6 O 1.99-2.00
5 O 0.0000 0.0000 0.0000 x2  2 Ta 1.99
6 O 0.0000 0.2361 0.4408 x8  2 Ta 2.00-2.14
7 O 0.0000 0.2377 0.3059 x8  1 Ta 1.89
8 O 0.0000 0.5000 0.1197 x4  2 Ta 2.02

10.
# SrLaTcO6

A relaxed SrLaTcO6 crystal (GGA-PBE, Alexandria via LeMat-Bulk).

Summary:
Total magnetization ... 0.00 μB/f.u.
DFT total energy ... -7.406 eV per atom
Raw formation energy ... -2.214 eV per atom

Unit cell a=5.7319 b=5.7319 c=4.9473 alpha=90.00 beta=90.00 gamma=120.00
With the nearest neighbours (Å) after each atom.
Space group P312 (No. 149)
Asymmetric unit:
1 Sr 0.0000 0.0000 0.0000 x1  6 O 2.44
2 La 0.6667 0.3333 0.5000 x1  6 O 2.45
3 Tc 0.3333 0.6667 0.0000 x1  6 O 1.91
4 O 0.0505 0.4039 0.2213 x6  1 Tc 1.91

11.
# SrLaTeO6

A relaxed SrLaTeO6 crystal (GGA-PBE, Alexandria via LeMat-Bulk).

Summary:
Total magnetization ... 1.05 μB/f.u.
DFT total energy ... -6.434 eV per atom
Raw formation energy ... -2.045 eV per atom

Unit cell a=5.9665 b=5.9665 c=9.6564 alpha=90.00 beta=90.00 gamma=120.00
With the nearest neighbours (Å) after each atom.
Space group P-31c (No. 163)
Asymmetric unit:
1 Sr 0.0000 0.0000 0.0000 x2  6 O 2.56
2 La 0.3333 0.6667 0.2500 x2  6 O 2.44
3 Te 0.3333 0.6667 0.7500 x2  6 O 1.95
4 O 0.0606 0.3927 0.6388 x12  1 Te 1.95

12.
# SrLaTiO4

A relaxed SrLaTiO4 crystal (GGA-PBE, Alexandria via LeMat-Bulk).

Summary:
Total magnetization ... 0.90 μB/f.u.
DFT total energy ... -7.989 eV per atom
Raw formation energy ... -3.084 eV per atom

Unit cell a=3.9396 b=3.9396 c=12.6561 alpha=90.00 beta=90.00 gamma=90.00
With the nearest neighbours (Å) after each atom.
Space group I4mm (No. 107)
Asymmetric unit:
1 Sr 0.0000 0.0000 0.0000 x2  5 O 2.42-2.71
2 La 0.0000 0.0000 0.2876 x2  1 O 2.33
3 Ti 0.0000 0.0000 0.6429 x2  6 O 1.97-2.17
4 O 0.0000 0.0000 0.4716 x2  1 Ti 2.17, 1 La 2.33
5 O 0.0000 0.0000 0.8089 x2  1 Ti 2.10
6 O 0.0000 0.5000 0.1468 x4  2 Ti 1.97